This record from the Alexandria database describes an optimized crystal structure of LiPbBr. The functional is GGA-PBE.

E_tot   -31.13 eV per cell
M_tot   0.0 μB/cell
Fermi-level density of states   10.28 states/eV per cell
Raw formation energy   -0.16 eV per atom
Distance to the lowest polymorph of the same formula   0.764 eV/atom

a b c (Å): 6.977 6.977 6.977
angles (deg): 90.00 90.00 90.00
Space group F-43m (No. 216)
Asymmetric unit:
Li  0.000  0.000  0.000
Pb  0.250  0.250  0.250
Br  0.250  0.250  0.750